No. 1
DFT (PBE-GGA) results for a relaxed Eu2AlP3Pt7 crystal.

abc: 13.892 13.892 13.892
angles: 163.12 163.12 23.97
Last column: magnetic moment on the atom in μB.
Atoms (fractional coordinates):
P: 0.880 0.880 0.000  -0.02
P: 0.120 0.120 0.000  -0.02
P: 0.750 0.250 0.500  -0.04
Pt: 0.930 0.430 0.500  0.01
Pt: 0.072 0.572 0.500  0.01
Pt: 0.207 0.207 0.000  -0.06
Pt: 0.428 0.928 0.500  0.01
Pt: 0.570 0.070 0.500  0.01
Pt: 0.000 0.000 0.000  0.01
Pt: 0.793 0.793 0.000  -0.06
Al: 0.500 0.500 0.000  0.00
Eu: 0.666 0.666 0.000  6.69
Eu: 0.334 0.334 0.000  6.69

The value obtained for the magnetization is 13.54 μB per cell. Its space group is No. 119. The energy of formation from the pure elements is -0.94 eV per atom. Its total energy is -7.31 eV/atom. The calculated volume comes out at 17.39 Å³ per atom.

No. 2
DFT (PBE-GGA) results for a relaxed EuPaAl4 crystal.

abc: 5.583 5.583 5.583
angles: 60.00 60.00 60.00
Last column: magnetic moment on the atom in μB.
Atoms (fractional coordinates):
Eu: 0.250 0.250 0.250  -6.77
Pa: 0.000 0.000 0.000  -0.08
Al: 0.626 0.122 0.626  0.01
Al: 0.626 0.626 0.122  0.01
Al: 0.626 0.626 0.626  0.01
Al: 0.122 0.626 0.626  0.01

The value obtained for the magnetization is 7.13 μB per cell. Its space group is No. 216. The energy of formation from the pure elements is -0.28 eV per atom. Its total energy is -6.07 eV/atom. The calculated volume comes out at 20.51 Å³ per atom.

No. 3
DFT (PBE-GGA) results for a relaxed EuPaAl2 crystal.

abc: 3.250 3.250 8.930
angles: 90.00 90.00 90.00
Last column: magnetic moment on the atom in μB.
Atoms (fractional coordinates):
Pa: 0.500 0.500 0.000  -0.07
Al: 0.000 0.000 0.762  -0.01
Al: 0.000 0.000 0.238  -0.01
Eu: 0.500 0.500 0.500  6.85

The value obtained for the magnetization is 7.02 μB per cell. As for the offset from the most stable computed form: 0 meV per atom. Its space group is No. 123. The energy of formation from the pure elements is -0.15 eV per atom. Its total energy is -6.97 eV/atom. The calculated volume comes out at 23.59 Å³ per atom.

No. 4
DFT (PBE-GGA) results for a relaxed EuPaAl2 crystal.

abc: 3.203 3.203 10.784
angles: 81.46 81.46 60.00
Last column: magnetic moment on the atom in μB.
Atoms (fractional coordinates):
Al: 0.252 0.252 0.243  -0.01
Al: 0.748 0.748 0.757  -0.01
Eu: 0.500 0.500 0.500  7.10
Pa: 0.000 0.000 0.000  0.06

The value obtained for the magnetization is 7.54 μB per cell. As for the offset from the most stable computed form: 198 meV per atom. Its space group is No. 166. The energy of formation from the pure elements is 0.04 eV per atom. Its total energy is -6.77 eV/atom. The calculated volume comes out at 23.59 Å³ per atom.

No. 5
DFT (PBE-GGA) results for a relaxed EuAlPb crystal.

abc: 3.625 5.073 5.073
angles: 120.00 90.00 90.00
Last column: magnetic moment on the atom in μB.
Atoms (fractional coordinates):
Eu: 0.667 0.667 0.333  6.88
Pb: 0.167 0.333 0.667  -0.01
Al: 0.166 0.000 0.000  -0.01

The value obtained for the magnetization is 7.18 μB per cell. Its space group is No. 187. The energy of formation from the pure elements is -0.26 eV per atom. Its total energy is -6.17 eV/atom. The calculated volume comes out at 26.94 Å³ per atom.

No. 6
DFT (PBE-GGA) results for a relaxed PmEuAlPb crystal.

abc: 5.450 5.450 5.450
angles: 60.00 60.00 60.00
Last column: magnetic moment on the atom in μB.
Atoms (fractional coordinates):
Eu: 0.000 0.000 0.000  6.83
Al: 0.750 0.750 0.750  -0.01
Pb: 0.250 0.250 0.250  -0.01
Pm: 0.500 0.500 0.500  0.07

The value obtained for the magnetization is 7.19 μB per cell. Its space group is No. 216. The energy of formation from the pure elements is -0.35 eV per atom. Its total energy is -5.97 eV/atom. The calculated volume comes out at 28.62 Å³ per atom.